No. 1
VASP calculation (PBE) on a geometry-optimized LiCeTm4S8 structure.

abc: 7.913 7.913 8.051
angles: 60.56 60.56 60.00
Site moments in Bohr magnetons follow the coordinates.
Fractional positions:
S 0.229 0.751 0.270  -0.01
Tm 0.005 0.005 0.504  0.01
S 0.751 0.229 0.270  -0.01
S 0.249 0.249 0.733  -0.01
S 0.242 0.242 0.273  0.00
Li 0.375 0.375 0.874  0.00
S 0.249 0.769 0.733  -0.01
Tm 0.627 0.627 0.119  0.01
S 0.769 0.249 0.733  -0.01
S 0.751 0.751 0.270  -0.01
Ce 0.003 0.003 0.990  0.90
Tm 0.486 0.005 0.504  0.01
Tm 0.005 0.486 0.504  0.01
S 0.759 0.759 0.724  0.00

As for the space-group type: No. 160. The uncorrected formation energy is -1.933 eV per atom. The density of states at the Fermi level is 5.86 states/eV per cell.

***

No. 2
VASP calculation (PBE) on a geometry-optimized Li3Ce2TmS6 structure.

abc: 6.929 6.929 6.574
angles: 99.90 99.90 120.16
Site moments in Bohr magnetons follow the coordinates.
Fractional positions:
S 0.760 0.760 0.252  -0.01
S 0.084 0.405 0.254  -0.01
Tm 0.000 0.000 0.000  0.03
S 0.240 0.240 0.748  -0.01
S 0.595 0.916 0.746  -0.01
Ce 0.332 0.668 0.000  0.90
S 0.405 0.084 0.254  -0.01
Li 0.156 0.844 0.500  0.00
S 0.916 0.595 0.746  -0.01
Li 0.500 0.500 0.500  0.00
Ce 0.668 0.332 0.000  0.90
Li 0.844 0.156 0.500  0.00

As for the space-group type: No. 12. The uncorrected formation energy is -1.760 eV per atom. The density of states at the Fermi level is 12.75 states/eV per cell.

***

No. 3
VASP calculation (PBE) on a geometry-optimized LiCe2TmS5 structure.

abc: 3.949 8.420 11.879
angles: 90.00 90.00 103.56
Site moments in Bohr magnetons follow the coordinates.
Fractional positions:
Li 0.515 0.031 0.978  0.00
S 0.362 0.724 0.999  -0.02
S 0.638 0.276 0.499  -0.02
S 0.953 0.906 0.570  -0.01
Ce 0.892 0.783 0.185  0.90
S 0.691 0.383 0.849  -0.01
S 0.713 0.426 0.160  -0.02
Ce 0.126 0.252 0.299  0.88
Tm 0.802 0.603 0.503  0.02
S 0.287 0.574 0.660  -0.02
S 0.309 0.617 0.349  -0.01
Li 0.485 0.969 0.478  0.00
S 0.047 0.094 0.070  -0.01
S 0.499 0.998 0.781  -0.03
Ce 0.874 0.748 0.799  0.88
S 0.501 0.002 0.281  -0.03
Ce 0.108 0.217 0.685  0.90
Tm 0.198 0.397 0.003  0.02

As for the space-group type: No. 36. The uncorrected formation energy is -1.889 eV per atom. The density of states at the Fermi level is 24.17 states/eV per cell.

***

No. 4
VASP calculation (PBE) on a geometry-optimized LiCe2TmS6 structure.

abc: 6.860 6.861 7.287
angles: 61.92 61.92 60.00
Fractional positions:
S 0.108 0.427 0.750
Li 0.314 0.314 0.058
S 0.916 0.618 0.250
Ce 0.016 0.016 0.951
Ce 0.514 0.514 0.457
Tm 0.817 0.817 0.548
S 0.426 0.715 0.750
S 0.618 0.215 0.250
S 0.715 0.109 0.750
S 0.215 0.916 0.250

As for the space-group type: No. 146. The uncorrected formation energy is -1.716 eV per atom.

***

No. 5
VASP calculation (PBE) on a geometry-optimized Li3CeTm2S6 structure.

abc: 6.809 6.809 6.567
angles: 99.88 99.88 120.05
Site moments in Bohr magnetons follow the coordinates.
Fractional positions:
S 0.573 0.917 0.750  -0.01
Li 0.171 0.829 0.500  0.00
Tm 0.666 0.334 0.000  0.02
Li 0.829 0.171 0.500  0.00
Li 0.500 0.500 0.500  0.00
S 0.261 0.261 0.748  -0.01
S 0.739 0.739 0.252  -0.01
S 0.917 0.573 0.750  -0.01
S 0.427 0.083 0.250  -0.01
Tm 0.334 0.666 0.000  0.02
Ce 0.000 0.000 0.000  0.89
S 0.083 0.427 0.250  -0.01

As for the space-group type: No. 12. The uncorrected formation energy is -1.806 eV per atom. The density of states at the Fermi level is 4.61 states/eV per cell.

***

No. 6
VASP calculation (PBE) on a geometry-optimized Li2CeTm2S6 structure.

abc: 6.819 6.819 6.523
angles: 99.92 99.92 120.10
Fractional positions:
Tm 0.335 0.665 0.500
Tm 0.665 0.335 0.500
Li 0.171 0.829 0.000
S 0.584 0.927 0.257
S 0.249 0.249 0.257
S 0.751 0.751 0.743
S 0.073 0.416 0.743
Li 0.829 0.171 0.000
Ce 0.000 0.000 0.500
S 0.416 0.073 0.743
S 0.927 0.584 0.257

As for the space-group type: No. 12. The uncorrected formation energy is -1.800 eV per atom.

***

No. 7
VASP calculation (PBE) on a geometry-optimized Li3CeU2S6 structure.

abc: 6.782 6.782 6.655
angles: 99.79 99.79 120.02
Site moments in Bohr magnetons follow the coordinates.
Fractional positions:
U 0.334 0.666 0.000  2.54
S 0.085 0.428 0.256  -0.05
S 0.428 0.085 0.256  -0.05
S 0.256 0.256 0.740  -0.05
S 0.572 0.915 0.744  -0.05
Li 0.500 0.500 0.500  0.00
U 0.666 0.334 0.000  2.54
Li 0.832 0.168 0.500  0.00
S 0.744 0.744 0.260  -0.05
Li 0.168 0.832 0.500  0.00
S 0.915 0.572 0.744  -0.05
Ce 0.000 0.000 0.000  1.05

As for the space-group type: No. 12. The uncorrected formation energy is -1.485 eV per atom. The density of states at the Fermi level is 9.87 states/eV per cell.

***

No. 8
VASP calculation (PBE) on a geometry-optimized LiCeU2S5 structure.

abc: 7.647 7.026 7.026
angles: 90.00 90.00 90.00
Site moments in Bohr magnetons follow the coordinates.
Fractional positions:
Li 0.000 0.500 0.500  0.01
S 0.762 0.307 0.193  -0.01
S 0.500 0.500 0.500  -0.01
S 0.762 0.807 0.307  -0.01
S 0.500 0.000 0.000  -0.01
U 0.500 0.376 0.876  0.17
U 0.500 0.624 0.124  0.17
U 0.500 0.124 0.376  0.17
Ce 0.000 0.000 0.500  0.62
S 0.238 0.807 0.307  -0.01
U 0.500 0.876 0.624  0.17
S 0.238 0.693 0.807  -0.01
Li 0.000 0.000 0.000  0.01
S 0.238 0.193 0.693  -0.01
S 0.238 0.307 0.193  -0.01
S 0.762 0.193 0.693  -0.01
Ce 0.000 0.500 0.000  0.62
S 0.762 0.693 0.807  -0.01

As for the space-group type: No. 127. The uncorrected formation energy is -1.238 eV per atom. The density of states at the Fermi level is 16.37 states/eV per cell.

***

No. 9
VASP calculation (PBE) on a geometry-optimized Li3Ce2US6 structure.

abc: 6.911 6.911 6.618
angles: 100.00 100.00 120.02
Site moments in Bohr magnetons follow the coordinates.
Fractional positions:
S 0.410 0.086 0.258  -0.04
U 0.000 0.000 0.000  2.46
Ce 0.667 0.333 0.000  0.98
Li 0.163 0.837 0.500  0.00
S 0.760 0.760 0.254  -0.04
Ce 0.333 0.667 0.000  0.98
S 0.240 0.240 0.746  -0.04
S 0.914 0.590 0.742  -0.04
Li 0.500 0.500 0.500  0.00
S 0.086 0.410 0.258  -0.04
Li 0.837 0.163 0.500  0.00
S 0.590 0.914 0.742  -0.04

As for the space-group type: No. 12. The uncorrected formation energy is -1.600 eV per atom. The density of states at the Fermi level is 15.55 states/eV per cell.

***

No. 10
VASP calculation (PBE) on a geometry-optimized LiCe2US4 structure.

abc: 3.938 6.872 6.793
angles: 109.57 90.00 90.00
Site moments in Bohr magnetons follow the coordinates.
Fractional positions:
S 0.000 0.249 0.764  -0.05
Ce 0.000 0.500 0.500  0.90
Li 0.000 0.000 0.000  0.00
U 0.500 0.500 0.000  2.39
S 0.000 0.751 0.236  -0.05
S 0.500 0.759 0.766  -0.03
Ce 0.500 0.000 0.500  0.78
S 0.500 0.241 0.234  -0.03

As for the space-group type: No. 10. The uncorrected formation energy is -1.695 eV per atom. The density of states at the Fermi level is 14.25 states/eV per cell.

***

No. 11
VASP calculation (PBE) on a geometry-optimized LiCeUS3 structure.

abc: 3.830 8.163 8.456
angles: 103.96 90.00 90.00
Site moments in Bohr magnetons follow the coordinates.
Fractional positions:
Ce 0.250 0.181 0.218  0.99
Li 0.750 0.913 0.416  0.01
Li 0.250 0.087 0.584  0.01
S 0.750 0.216 0.502  -0.03
Ce 0.750 0.819 0.782  0.99
S 0.250 0.784 0.498  -0.03
S 0.750 0.902 0.135  -0.05
U 0.250 0.659 0.155  2.61
U 0.750 0.341 0.845  2.61
S 0.750 0.427 0.183  -0.06
S 0.250 0.098 0.865  -0.05
S 0.250 0.573 0.817  -0.06

As for the space-group type: No. 11. The uncorrected formation energy is -1.524 eV per atom. The density of states at the Fermi level is 21.91 states/eV per cell.

***

No. 12
VASP calculation (PBE) on a geometry-optimized LiCe2US5 structure.

abc: 3.964 8.451 11.847
angles: 90.00 90.00 103.56
Site moments in Bohr magnetons follow the coordinates.
Fractional positions:
Ce 0.891 0.781 0.187  0.98
Ce 0.109 0.219 0.687  0.98
Li 0.481 0.962 0.473  0.00
S 0.688 0.377 0.850  -0.06
Li 0.519 0.038 0.973  0.00
S 0.503 0.005 0.277  -0.03
U 0.799 0.598 0.506  2.29
S 0.312 0.623 0.350  -0.06
S 0.711 0.422 0.163  -0.06
S 0.365 0.730 0.000  -0.04
U 0.201 0.402 0.006  2.29
Ce 0.127 0.255 0.302  0.96
S 0.635 0.270 0.500  -0.04
S 0.497 0.995 0.777  -0.03
S 0.951 0.903 0.566  -0.05
Ce 0.873 0.745 0.802  0.96
S 0.049 0.097 0.066  -0.05
S 0.289 0.578 0.663  -0.06

As for the space-group type: No. 36. The uncorrected formation energy is -1.694 eV per atom. The density of states at the Fermi level is 35.67 states/eV per cell.

***

No. 13
VASP calculation (PBE) on a geometry-optimized LiCe2US6 structure.

abc: 6.448 6.323 6.323
angles: 90.00 90.00 90.00
Site moments in Bohr magnetons follow the coordinates.
Fractional positions:
S 0.742 0.759 0.241  -0.05
Ce 0.004 0.500 0.000  0.81
S 0.174 0.500 0.500  -0.03
S 0.742 0.241 0.759  -0.05
U 0.586 0.500 0.500  1.54
Li 0.538 0.000 0.000  0.00
S 0.742 0.241 0.241  -0.05
S 0.171 0.000 0.000  -0.04
Ce 0.004 0.000 0.500  0.81
S 0.742 0.759 0.759  -0.05

As for the space-group type: No. 99. The uncorrected formation energy is -1.372 eV per atom. The density of states at the Fermi level is 19.47 states/eV per cell.

***

No. 14
VASP calculation (PBE) on a geometry-optimized LiCeU2S4 structure.

abc: 3.849 6.668 6.921
angles: 108.72 90.00 90.00
Site moments in Bohr magnetons follow the coordinates.
Fractional positions:
Ce 0.000 0.000 0.000  0.71
S 0.500 0.261 0.251  -0.05
S 0.000 0.740 0.246  -0.05
U 0.000 0.500 0.500  2.29
Li 0.500 0.500 0.000  0.00
S 0.500 0.739 0.749  -0.05
U 0.500 0.000 0.500  2.54
S 0.000 0.260 0.754  -0.05

As for the space-group type: No. 10. The uncorrected formation energy is -1.520 eV per atom. The density of states at the Fermi level is 11.79 states/eV per cell.

***

No. 15
VASP calculation (PBE) on a geometry-optimized Li4Ce3US8 structure.

abc: 8.009 7.733 8.007
angles: 121.20 120.01 90.00
Site moments in Bohr magnetons follow the coordinates.
Fractional positions:
S 0.248 0.756 0.008  -0.04
S 0.760 0.756 0.008  -0.04
S 0.247 0.242 0.494  -0.02
Li 0.500 0.000 0.500  0.00
Ce 0.000 0.500 0.500  0.94
S 0.752 0.244 0.503  -0.04
S 0.753 0.758 0.506  -0.02
S 0.752 0.244 0.992  -0.04
Ce 0.500 0.500 0.000  0.94
S 0.240 0.244 0.992  -0.04
Ce 0.500 0.500 0.500  0.94
Li 0.000 0.000 0.500  0.00
U 0.000 0.500 0.000  2.49
S 0.248 0.756 0.497  -0.04
Li 0.500 0.000 0.000  0.00
Li 0.000 0.000 0.000  0.00

As for the space-group type: No. 166. The uncorrected formation energy is -1.629 eV per atom. The density of states at the Fermi level is 21.98 states/eV per cell.

***

No. 16
VASP calculation (PBE) on a geometry-optimized Li3Ce3VS8 structure.

abc: 7.826 7.826 7.619
angles: 120.93 89.98 120.01
Site moments in Bohr magnetons follow the coordinates.
Fractional positions:
Ce 0.500 0.500 0.500  0.63
Li 0.000 0.500 0.000  0.00
Ce 0.500 0.000 0.500  0.63
S 0.225 0.994 0.264  -0.04
Ce 0.000 0.500 0.500  0.63
S 0.754 0.508 0.762  -0.02
Li 0.000 0.000 0.000  0.00
S 0.231 0.461 0.736  -0.04
S 0.769 0.539 0.264  -0.04
V 0.000 0.000 0.500  1.93
S 0.769 0.994 0.264  -0.04
S 0.246 0.492 0.238  -0.02
S 0.231 0.006 0.736  -0.04
Li 0.500 0.500 0.000  0.00
S 0.775 0.006 0.736  -0.04

As for the space-group type: No. 166. The uncorrected formation energy is -1.558 eV per atom. The density of states at the Fermi level is 15.82 states/eV per cell.

***

No. 17
VASP calculation (PBE) on a geometry-optimized LiCeYS4 structure.

abc: 7.862 7.986 7.986
angles: 61.47 60.51 60.51
Fractional positions:
S 0.772 0.244 0.744
Ce 0.000 0.000 0.000
S 0.758 0.757 0.726
S 0.240 0.244 0.744
S 0.242 0.243 0.274
Li 0.367 0.383 0.883
Li 0.633 0.617 0.117
S 0.760 0.756 0.256
S 0.228 0.756 0.256
Y 0.500 0.000 0.500
S 0.242 0.774 0.743
Ce 0.000 0.500 0.500
S 0.758 0.226 0.257
Y 0.000 0.000 0.500

As for the space-group type: No. 74. The uncorrected formation energy is -1.784 eV per atom.

***

No. 18
VASP calculation (PBE) on a geometry-optimized LiCeY2S4 structure.

abc: 3.925 6.797 6.839
angles: 109.35 90.00 90.00
Site moments in Bohr magnetons follow the coordinates.
Fractional positions:
S 0.500 0.245 0.251  -0.01
Y 0.000 0.500 0.500  0.07
Li 0.000 0.000 0.000  0.00
S 0.000 0.241 0.746  -0.01
Y 0.500 0.000 0.500  0.02
S 0.000 0.759 0.254  -0.01
S 0.500 0.755 0.749  -0.01
Ce 0.500 0.500 0.000  0.81

As for the space-group type: No. 10. The uncorrected formation energy is -1.925 eV per atom. The density of states at the Fermi level is 6.65 states/eV per cell.

***

No. 19
VASP calculation (PBE) on a geometry-optimized Li2CeYS4 structure.

abc: 3.987 6.904 6.593
angles: 110.37 90.00 90.00
Site moments in Bohr magnetons follow the coordinates.
Fractional positions:
Li 0.500 0.000 0.500  0.00
S 0.000 0.242 0.745  -0.01
S 0.000 0.758 0.255  -0.01
Li 0.000 0.500 0.500  0.00
Y 0.000 0.000 0.000  0.03
S 0.500 0.755 0.748  -0.01
S 0.500 0.245 0.252  -0.01
Ce 0.500 0.500 0.000  0.88

As for the space-group type: No. 10. The uncorrected formation energy is -1.779 eV per atom. The density of states at the Fermi level is 6.18 states/eV per cell.

***

No. 20
VASP calculation (PBE) on a geometry-optimized LiCe2YS5 structure.

abc: 3.968 8.460 11.924
angles: 90.00 90.00 103.56
Site moments in Bohr magnetons follow the coordinates.
Fractional positions:
S 0.309 0.617 0.345  -0.01
S 0.712 0.423 0.162  -0.02
S 0.637 0.274 0.499  -0.02
S 0.500 0.999 0.782  -0.03
S 0.691 0.383 0.845  -0.01
S 0.045 0.091 0.071  -0.01
S 0.500 0.001 0.282  -0.03
S 0.363 0.726 0.999  -0.02
Li 0.514 0.028 0.980  0.00
Ce 0.125 0.250 0.298  0.88
S 0.288 0.577 0.662  -0.02
Y 0.198 0.396 0.002  0.02
S 0.955 0.909 0.571  -0.01
Ce 0.875 0.750 0.798  0.88
Ce 0.891 0.782 0.184  0.90
Li 0.486 0.972 0.480  0.00
Ce 0.109 0.218 0.684  0.90
Y 0.802 0.604 0.502  0.02

As for the space-group type: No. 36. The uncorrected formation energy is -1.884 eV per atom. The density of states at the Fermi level is 24.68 states/eV per cell.